This record from Alexandria via LeMat-Bulk describes an optimized crystal structure of LiNi2OF3. The functional is PBE+U.

## Properties
The value obtained for the total DFT energy (no corrections) is -4.523 eV/atom. The value obtained for the calculated density is 4.20 g cm⁻³. The energy above the most stable polymorph in this dataset is 0.0245 eV/atom.

abc: 5.963 6.077 8.612
angles: 90.00 90.00 90.00
Atoms (fractional coordinates):
1 F 0.489 0.994 0.751
2 F 0.750 0.251 0.480
3 F 0.989 0.006 0.249
4 Ni 0.750 0.755 0.261
5 Ni 0.000 0.000 0.500
6 F 0.250 0.249 0.980
7 O 0.750 0.292 0.015
8 O 0.250 0.208 0.515
9 F 0.011 0.494 0.749
10 Li 0.250 0.473 0.395
11 Ni 0.250 0.245 0.739
12 Li 0.750 0.027 0.895
13 F 0.250 0.749 0.520
14 F 0.489 0.494 0.749
15 Li 0.250 0.973 0.105
16 Li 0.750 0.527 0.605
17 F 0.511 0.506 0.251
18 F 0.011 0.994 0.751
19 O 0.250 0.708 0.985
20 Ni 0.500 0.500 0.000
21 F 0.750 0.751 0.020
22 Ni 0.500 0.000 0.500
23 O 0.750 0.792 0.485
24 Ni 0.000 0.500 0.000
25 Ni 0.750 0.255 0.239
26 F 0.989 0.506 0.251
27 Ni 0.250 0.745 0.761
28 F 0.511 0.006 0.249